Record 1
An optimized crystal structure of TaBeSi2, computed with GGA-PBEsol.

Calculated values
**Raw formation energy**: -0.008 eV/atom
**V**: 53 Å³/f.u.
**N(E_F)**: 0.48 states/eV/atom
**VASP energy**: -7.02 eV per atom

abc: 3.567 3.605 4.103
angles: 90.00 90.00 90.00
Positions (direct):
Ta: 0.000 0.000 0.000
Be: 0.500 0.000 0.500
Si: 0.000 0.500 0.500
Si: 0.500 0.500 0.000

=====

Record 2
An optimized crystal structure of TaBeSi2, computed with GGA-PBEsol.

Calculated values
**Raw formation energy**: 0.443 eV/atom
**V**: 54 Å³/f.u.
**N(E_F)**: 0.89 states/eV/atom
**VASP energy**: -6.57 eV per atom

abc: 4.243 4.243 4.243
angles: 60.00 60.00 60.00
Positions (direct):
Ta: 0.000 0.000 0.000
Be: 0.250 0.250 0.250
Si: 0.500 0.500 0.500
Si: 0.750 0.750 0.750

=====

Record 3
An optimized crystal structure of TaBeSi2W, computed with GGA-PBEsol.

Calculated values
**Raw formation energy**: 1.831 eV/atom
**V**: 110 Å³/f.u.
**N(E_F)**: 0.79 states/eV/atom
**VASP energy**: -6.54 eV per atom

abc: 4.746 4.746 4.864
angles: 90.00 90.00 90.00
Positions (direct):
Ta: 0.000 0.000 0.000
Be: 0.500 0.500 0.500
Si: 0.000 0.500 0.000
Si: 0.500 0.000 0.000
W: 0.000 0.000 0.500

=====

Record 4
An optimized crystal structure of BeSiTc2, computed with GGA-PBEsol.

Calculated values
**Raw formation energy**: -0.355 eV/atom
**V**: 48 Å³/f.u.
**N(E_F)**: 0.59 states/eV/atom
**E above lowest polymorph**: 42.4 meV per atom
**VASP energy**: -8.43 eV per atom

abc: 3.866 4.529 4.529
angles: 37.12 90.00 90.00
Positions (direct):
Be: 0.000 0.000 0.000
Si: 0.500 0.839 0.839
Tc: 0.000 0.271 0.271
Tc: 0.500 0.564 0.564

=====

Record 5
An optimized crystal structure of BeSiTc2, computed with GGA-PBEsol.

Calculated values
**Raw formation energy**: -0.240 eV/atom
**V**: 48 Å³/f.u.
**N(E_F)**: 0.92 states/eV/atom
**E above lowest polymorph**: 157.5 meV per atom
**VASP energy**: -8.31 eV per atom

abc: 4.034 4.034 2.924
angles: 90.00 90.00 90.00
Positions (direct):
Be: 0.000 0.000 0.000
Si: 0.500 0.500 0.000
Tc: 0.000 0.500 0.500
Tc: 0.500 0.000 0.500

=====

Record 6
An optimized crystal structure of BeSiTc2, computed with GGA-PBEsol.

Calculated values
**Raw formation energy**: -0.098 eV/atom
**V**: 50 Å³/f.u.
**N(E_F)**: 0.51 states/eV/atom
**E above lowest polymorph**: 299.3 meV per atom
**VASP energy**: -8.17 eV per atom

abc: 4.134 4.134 4.748
angles: 100.95 100.95 38.94
Positions (direct):
Be: 0.000 0.000 0.000
Si: 0.500 0.500 0.500
Tc: 0.250 0.250 0.761
Tc: 0.750 0.750 0.239

=====

Record 7
An optimized crystal structure of Be2SiTc, computed with GGA-PBEsol.

Calculated values
**Raw formation energy**: -0.366 eV/atom
**V**: 42 Å³/f.u.
**N(E_F)**: 0.43 states/eV/atom
**VASP energy**: -6.62 eV per atom

abc: 4.427 4.427 4.427
angles: 137.74 132.85 65.16
Positions (direct):
Be: 0.000 0.000 0.000
Be: 0.765 0.265 0.500
Si: 0.257 0.757 0.500
Tc: 0.514 0.514 0.000

=====

Record 8
An optimized crystal structure of BeSiTc2, computed with GGA-PBEsol.

Calculated values
**Raw formation energy**: -0.088 eV/atom
**V**: 50 Å³/f.u.
**N(E_F)**: 0.68 states/eV/atom
**E above lowest polymorph**: 310.0 meV per atom
**VASP energy**: -8.16 eV per atom

abc: 2.676 3.797 4.941
angles: 90.00 97.53 90.00
Positions (direct):
Be: 0.000 0.000 0.000
Si: 0.500 0.000 0.500
Tc: 0.266 0.500 0.757
Tc: 0.734 0.500 0.243

=====

Record 9
An optimized crystal structure of BeSiTc2, computed with GGA-PBEsol.

Calculated values
**Raw formation energy**: -0.398 eV/atom
**V**: 48 Å³/f.u.
**N(E_F)**: 0.24 states/eV/atom
**E above lowest polymorph**: 0.0 meV per atom
**VASP energy**: -8.47 eV per atom

abc: 2.924 2.924 5.557
angles: 90.00 90.00 90.00
Positions (direct):
Be: 0.000 0.000 0.000
Si: 0.500 0.500 0.221
Tc: 0.000 0.000 0.478
Tc: 0.500 0.500 0.774

=====

Record 10
An optimized crystal structure of Be2SiTc, computed with GGA-PBEsol.

Calculated values
**Raw formation energy**: -0.274 eV/atom
**V**: 43 Å³/f.u.
**N(E_F)**: 0.20 states/eV/atom
**VASP energy**: -6.53 eV per atom

abc: 4.505 4.505 4.505
angles: 140.19 131.83 64.21
Positions (direct):
Be: 0.248 0.248 0.000
Be: 0.752 0.752 0.000
Si: 0.500 0.000 0.500
Tc: 0.000 0.500 0.500

=====

Record 11
An optimized crystal structure of BeSiTe2, computed with GGA-PBEsol.

Calculated values
**Raw formation energy**: 0.138 eV/atom
**V**: 87 Å³/f.u.
**N(E_F)**: 0.28 states/eV/atom
**E above lowest polymorph**: 0.0 meV per atom
**VASP energy**: -4.06 eV per atom

abc: 3.890 3.890 5.732
angles: 90.00 90.00 90.00
Positions (direct):
Be: 0.000 0.000 0.000
Si: 0.500 0.500 0.482
Te: 0.000 0.000 0.435
Te: 0.500 0.500 0.942

=====

Record 12
An optimized crystal structure of BeSi2Te, computed with GGA-PBEsol.

Calculated values
**Raw formation energy**: 0.718 eV/atom
**V**: 70 Å³/f.u.
**N(E_F)**: 0.45 states/eV/atom
**E above lowest polymorph**: 429.6 meV per atom
**VASP energy**: -4.04 eV per atom

abc: 4.643 4.643 3.510
angles: 90.00 90.00 112.12
Positions (direct):
Be: 0.000 0.000 0.000
Si: 0.000 0.500 0.500
Si: 0.500 0.000 0.500
Te: 0.500 0.500 0.000